Material: Li2SbW
Method: DFT, PBE-GGA
State: optimized geometry

Summary:
- magnetization (μB per cell) = 0.001
- E_form (uncorrected) (eV per atom) = 0.43
- energy (eV per atom) = -4.795

Cell: 5.3627 5.3627 5.3627 Å, 137.47 137.47 61.72°
Positions (direct):
1 Li 0.2500 0.7500 0.5000
2 Li 0.7500 0.2500 0.5000
3 Sb 0.0000 0.0000 0.0000
4 W 0.5000 0.5000 0.0000


Material: Sr2NiPb
Method: DFT, PBE-GGA
State: optimized geometry

Summary:
- magnetization (μB per cell) = 0.000
- energy relative to the elements (eV per atom) = -0.129
- energy (eV per atom) = -3.342

Cell: 6.7429 6.7429 5.3825 Å, 113.46 113.46 32.70°
Positions (direct):
1 Sr 0.0000 0.0000 0.0000
2 Sr 0.2011 0.2011 0.7008
3 Ni 0.7353 0.7353 0.2342
4 Pb 0.3970 0.3970 0.3973


Material: GdHoGaHg
Method: DFT, PBE-GGA
State: optimized geometry

Summary:
- magnetization (μB per cell) = 7.743
- energy relative to the elements (eV per atom) = -0.522
- energy (eV per atom) = -6.018

Cell: 5.1932 5.1932 5.1932 Å, 60.00 60.00 60.00°
Positions (direct):
1 Gd 0.0000 0.0000 0.0000
2 Ho 0.5000 0.5000 0.5000
3 Ga 0.2500 0.2500 0.2500
4 Hg 0.7500 0.7500 0.7500